# 1
The following is a PBE calculation of crystalline K2SmYZn2 at its relaxed geometry, from OQMD via LeMat-Bulk.

Cell and atoms, written as extended XYZ:
```
6
Lattice="5.607 0.000 0.000 -2.804 4.856 0.000 0.000 0.000 6.865" Properties=species:S:1:pos:R:3 pbc="T T T"
K 2.804 1.619 0.632
K 0.000 3.237 4.038
Sm 0.000 0.000 5.771
Y 0.000 0.000 2.340
Zn 0.000 3.237 0.587
Zn 2.804 1.619 4.046
```

Properties
**Raw total energy**: -2.25 eV per atom



# 2
The following is a PBE calculation of crystalline KSmZn at its relaxed geometry, from OQMD via LeMat-Bulk.

Cell and atoms, written as extended XYZ:
```
3
Lattice="0.000 3.734 3.734 3.734 0.000 3.734 3.734 3.734 0.000" Properties=species:S:1:pos:R:3 pbc="T T T"
K 3.734 3.734 3.734
Sm 0.000 0.000 0.000
Zn 1.867 1.867 1.867
```

Properties
**Raw total energy**: -1.90 eV per atom



# 3
The following is a PBE calculation of crystalline KTaSn at its relaxed geometry, from OQMD via LeMat-Bulk.

Cell and atoms, written as extended XYZ:
```
3
Lattice="-5.073 -0.342 0.582 -2.848 4.248 0.171 -3.107 1.157 -3.898" Properties=species:S:1:pos:R:3 pbc="T T T"
K 0.000 0.000 0.000
Sn -2.757 1.266 -0.786
Ta -8.270 3.798 -2.358
```

Properties
**Raw total energy**: -3.62 eV per atom



# 4
The following is a PBE calculation of crystalline KTaSn at its relaxed geometry, from OQMD via LeMat-Bulk.

Cell and atoms, written as extended XYZ:
```
3
Lattice="0.000 3.590 3.590 3.590 0.000 3.590 3.590 3.590 0.000" Properties=species:S:1:pos:R:3 pbc="T T T"
K 1.795 1.795 1.795
Sn 0.000 0.000 0.000
Ta 5.385 5.385 5.385
```

Properties
**Raw total energy**: -4.40 eV per atom